[1]
Density functional theory data (PBE) for a relaxed Rb3Pa3VTe8 crystal.

The structure in POSCAR format:
```
Rb3Pa3VTe8
1.0
4.337 2.504 8.952
-4.337 2.504 8.952
0.000 -5.008 8.952
Rb Pa V Te
3 3 1 8
direct
0.000 0.500 0.500
0.500 0.000 0.500
0.500 0.500 0.000
0.000 0.000 0.500
0.000 0.500 0.000
0.500 0.000 0.000
0.500 0.500 0.500
0.236 0.236 0.236
0.250 0.721 0.721
0.279 0.279 0.750
0.279 0.750 0.279
0.721 0.250 0.721
0.721 0.721 0.250
0.750 0.279 0.279
0.764 0.764 0.764
```

The volume comes out at 583.2 Å³/f.u.

=====

[2]
Density functional theory data (PBE) for a relaxed Rb3YPa3Te8 crystal.

The structure in POSCAR format:
```
Rb3YPa3Te8
1.0
4.411 2.546 8.884
-4.411 2.546 8.884
0.000 -5.093 8.884
Rb Y Pa Te
3 1 3 8
direct
0.000 0.500 0.500
0.500 0.000 0.500
0.500 0.500 0.000
0.500 0.500 0.500
0.000 0.000 0.500
0.000 0.500 0.000
0.500 0.000 0.000
0.233 0.735 0.735
0.235 0.235 0.235
0.265 0.265 0.767
0.265 0.767 0.265
0.735 0.233 0.735
0.735 0.735 0.233
0.765 0.765 0.765
0.767 0.265 0.265
```

The volume comes out at 598.6 Å³/f.u.

=====

[3]
Density functional theory data (PBE) for a relaxed Rb2Y2PaTe6 crystal.

The structure in POSCAR format:
```
Rb2Y2PaTe6
1.0
3.858 -6.676 0.000
3.858 6.676 0.000
-2.600 0.000 8.805
Rb Y Pa Te
2 2 1 6
direct
0.167 0.833 0.000
0.833 0.167 0.000
0.333 0.667 0.500
0.667 0.333 0.500
0.000 0.000 0.500
0.069 0.399 0.698
0.267 0.267 0.303
0.399 0.069 0.698
0.601 0.931 0.302
0.733 0.733 0.697
0.931 0.601 0.302
```

The volume comes out at 453.5 Å³/f.u.

=====

[4]
Density functional theory data (PBE) for a relaxed Rb2YPaTe4 crystal.

The structure in POSCAR format:
```
Rb2YPaTe4
1.0
7.816 0.000 0.000
0.000 4.474 0.000
-2.564 0.000 8.661
Rb Y Pa Te
2 1 1 4
direct
0.000 0.000 0.000
0.500 0.500 0.000
0.000 0.500 0.500
0.500 0.000 0.500
0.233 0.000 0.702
0.263 0.500 0.296
0.737 0.500 0.704
0.767 0.000 0.298
```

The volume comes out at 302.8 Å³/f.u.

=====

[5]
Density functional theory data (PBE) for a relaxed Rb3Pa3ZnTe8 crystal.

The structure in POSCAR format:
```
Rb3Pa3ZnTe8
1.0
4.441 2.564 8.771
-4.441 2.564 8.771
0.000 -5.128 8.771
Rb Pa Zn Te
3 3 1 8
direct
0.000 0.500 0.500
0.500 0.000 0.500
0.500 0.500 0.000
0.000 0.000 0.500
0.000 0.500 0.000
0.500 0.000 0.000
0.500 0.500 0.500
0.235 0.235 0.235
0.237 0.727 0.727
0.273 0.273 0.763
0.273 0.763 0.273
0.727 0.237 0.727
0.727 0.727 0.237
0.763 0.273 0.273
0.765 0.765 0.765
```

The volume comes out at 599.2 Å³/f.u.

=====

[6]
Density functional theory data (PBE) for a relaxed Rb2PaZnTe5 crystal.

The structure in POSCAR format:
```
Rb2PaZnTe5
1.0
2.165 -11.155 0.000
2.165 11.155 0.000
0.000 0.000 15.474
Rb Pa Zn Te
4 2 2 10
direct
0.124 0.876 0.500
0.125 0.875 0.865
0.875 0.125 0.365
0.876 0.124 0.000
0.200 0.800 0.192
0.800 0.200 0.692
0.425 0.575 0.607
0.575 0.425 0.107
0.064 0.936 0.210
0.300 0.700 0.828
0.305 0.695 0.553
0.331 0.669 0.183
0.490 0.510 0.469
0.510 0.490 0.969
0.669 0.331 0.683
0.695 0.305 0.053
0.700 0.300 0.328
0.936 0.064 0.710
```

The volume comes out at 373.8 Å³/f.u.

=====

[7]
Density functional theory data (PBE) for a relaxed Rb3Zr3PaTe8 crystal.

The structure in POSCAR format:
```
Rb3Zr3PaTe8
1.0
4.170 2.408 8.914
-4.170 2.408 8.914
0.000 -4.815 8.914
Rb Zr Pa Te
3 3 1 8
direct
0.000 0.500 0.500
0.500 0.000 0.500
0.500 0.500 0.000
0.000 0.000 0.500
0.000 0.500 0.000
0.500 0.000 0.000
0.500 0.500 0.500
0.219 0.741 0.741
0.232 0.232 0.232
0.259 0.259 0.781
0.259 0.781 0.259
0.741 0.219 0.741
0.741 0.741 0.219
0.768 0.768 0.768
0.781 0.259 0.259
```

The volume comes out at 536.9 Å³/f.u.

=====

[8]
Density functional theory data (PBE) for a relaxed Rb3Zr2PaTe6 crystal.

The structure in POSCAR format:
```
Rb3Zr2PaTe6
1.0
3.685 -6.400 0.000
3.685 6.400 0.000
-2.469 0.000 8.797
Rb Zr Pa Te
3 2 1 6
direct
0.000 0.000 0.000
0.337 0.663 0.000
0.663 0.337 0.000
0.168 0.832 0.500
0.832 0.168 0.500
0.500 0.500 0.500
0.090 0.433 0.299
0.222 0.222 0.698
0.433 0.090 0.299
0.567 0.910 0.701
0.778 0.778 0.302
0.910 0.567 0.701
```

The volume comes out at 415.0 Å³/f.u.

=====

Number 1: E_form (uncorrected) -0.83 eV/atom, ρ 5755 kg/m³. Number 2: E_form (uncorrected) -1.03 eV/atom, ρ 5712 kg/m³. Number 3: E_form (uncorrected) -1.25 eV/atom, ρ 4926 kg/m³. Number 4: E_form (uncorrected) -1.14 eV/atom, ρ 5491 kg/m³. Number 5: E_form (uncorrected) -0.82 eV/atom, ρ 5641 kg/m³. Number 6: E_form (uncorrected) -0.75 eV/atom, ρ 4911 kg/m³. Number 7: E_form (uncorrected) -0.96 eV/atom, ρ 5512 kg/m³. Number 8: E_form (uncorrected) -0.94 eV/atom, ρ 5744 kg/m³.